[1]
Compound: Pm2NbAs
Source: the Alexandria database
Functional: PBE-GGA
Structure: relaxed

a = 4.8954 Å, b = 4.8954 Å, c = 3.9918 Å
α = 90.00°, β = 90.00°, γ = 90.00°
Space group P4/mmm (No. 123)
Unique sites:
Pm 0.0000 0.5000 0.0000 [2 per cell]
Nb 0.0000 0.0000 0.5000 [1 per cell]
As 0.5000 0.5000 0.5000 [1 per cell]

Output
- Calculated total energy: -25.04 eV/cell
- Energy relative to the elements: -0.204 eV/atom

[2]
Compound: Mn3V3S8
Source: the Alexandria database
Functional: PBE-GGA
Structure: relaxed

a = 7.1497 Å, b = 7.1497 Å, c = 17.7658 Å
α = 90.00°, β = 90.00°, γ = 120.00°
Space group R-3m (No. 166, hexagonal axes)
Unique sites:
Mn 0.0000 0.0000 0.0000 [3 per cell]
Mn 0.0000 0.0000 0.3735 [6 per cell]
V 0.0000 0.5000 0.5000 [9 per cell]
S 0.0000 0.0000 0.2409 [6 per cell]
S 0.0236 0.5118 0.7537 [18 per cell]

Output
- Calculated total energy: -293.96 eV/cell
- Raw formation energy: -69.6 kJ per mole of atoms

[3]
Compound: SmCl
Source: the Alexandria database
Functional: PBE-GGA
Structure: relaxed

a = 3.6475 Å, b = 5.5627 Å, c = 5.4756 Å
α = 90.00°, β = 109.55°, γ = 90.00°
Space group P2_1/m (No. 11)
Unique sites:
Sm 0.1715 0.2500 0.3438 [2 per cell]
Cl 0.1062 0.7500 0.2135 [2 per cell]

Output
- Calculated total energy: -18.00 eV/cell
- Raw formation energy: -117.4 kJ per mole of atoms

[4]
Compound: KPm2Gd
Source: the Alexandria database
Functional: PBE-GGA
Structure: relaxed

a = 3.6437 Å, b = 3.6437 Å, c = 40.1926 Å
α = 90.00°, β = 90.00°, γ = 120.00°
Space group R-3m (No. 166, hexagonal axes)
Unique sites:
K 0.0000 0.0000 0.0000 [3 per cell]
Pm 0.0000 0.0000 0.0951 [6 per cell]
Gd 0.0000 0.0000 0.5000 [3 per cell]

Output
- Calculated total energy: -71.54 eV/cell
- Energy relative to the elements: 0.208 eV/atom

[5]
Compound: ScMnRe2
Source: the Alexandria database
Functional: PBE-GGA
Structure: relaxed

a = 6.1659 Å, b = 6.1659 Å, c = 6.1659 Å
α = 90.00°, β = 90.00°, γ = 90.00°
Space group Fm-3m (No. 225)
Unique sites:
Sc 0.0000 0.0000 0.0000 [4 per cell]
Mn 0.0000 0.0000 0.5000 [4 per cell]
Re 0.2500 0.2500 0.2500 [8 per cell]

Output
- Calculated total energy: -158.19 eV/cell
- Energy relative to the elements: 0.212 eV/atom
- Excess energy over the best structure of this formula in the dataset: 264.9 meV per atom

no.,density of states at the Fermi level (states/eV per cell)
1,4.98
2,38.71
3,2.55
4,16.45
5,23.96